Record 1
Here is crystalline ZrIn2Rh at its relaxed geometry from the Alexandria database. Energies are from PBE.

Calculated values
E (eV per atom): -5.654
Calculated density (g/cm³): 8.9
V (Å³/cell): 79.0
DOS(E_F) (states/eV per atom): 1.054

Lattice parameters (Å, degrees): 4.240 4.240 4.392 90.00 90.00 90.00
Space group P4/mmm (No. 123)
Inequivalent atoms, fractional coordinates:
Zr 0.000 0.000 0.000 [1 per cell]
In 0.000 0.500 0.500 [2 per cell]
Rh 0.500 0.500 0.000 [1 per cell]

***

Record 2
Here is crystalline ZrInRh at its relaxed geometry from the Alexandria database. Energies are from PBE.

Calculated values
E (eV per atom): -6.795
Calculated density (g/cm³): 8.9
V (Å³/cell): 230.8
DOS(E_F) (states/eV per atom): 0.481

Lattice parameters (Å, degrees): 4.503 8.956 5.722 90.00 90.00 90.00
Space group Cmcm (No. 63)
Inequivalent atoms, fractional coordinates:
Zr 0.000 0.196 0.250 [4 per cell]
In 0.000 0.500 0.000 [4 per cell]
Rh 0.000 0.121 0.750 [4 per cell]

***

Record 3
Here is crystalline Zr2InRh at its relaxed geometry from the Alexandria database. Energies are from PBE.

Calculated values
E (eV per atom): -7.197
Calculated density (g/cm³): 8.4
V (Å³/cell): 158.2
DOS(E_F) (states/eV per atom): 1.096

Lattice parameters (Å, degrees): 4.309 4.309 8.525 90.00 90.00 90.00
Space group I4/mmm (No. 139)
Inequivalent atoms, fractional coordinates:
Zr 0.000 0.500 0.250 [4 per cell]
In 0.000 0.000 0.000 [2 per cell]
Rh 0.000 0.000 0.500 [2 per cell]

***

Record 4
Here is crystalline ZrIn2Rh at its relaxed geometry from the Alexandria database. Energies are from PBE.

Calculated values
E (eV per atom): -5.500
Calculated density (g/cm³): 8.8
V (Å³/cell): 160.6
DOS(E_F) (states/eV per atom): 0.918

Lattice parameters (Å, degrees): 5.840 8.983 3.061 90.00 90.00 90.00
Space group Cmmm (No. 65)
Inequivalent atoms, fractional coordinates:
Zr 0.000 0.000 0.000 [2 per cell]
In 0.250 0.250 0.500 [4 per cell]
Rh 0.000 0.500 0.000 [2 per cell]

***

Record 5
Here is crystalline ZrIn2Rh3 at its relaxed geometry from the Alexandria database. Energies are from PBE.

Calculated values
E (eV per atom): -6.610
Calculated density (g/cm³): 10.0
V (Å³/cell): 104.1
DOS(E_F) (states/eV per atom): 0.449

Lattice parameters (Å, degrees): 3.334 3.334 9.363 90.00 90.00 90.00
Space group P4/mmm (No. 123)
Inequivalent atoms, fractional coordinates:
Zr 0.000 0.000 0.000 [1 per cell]
In 0.000 0.000 0.336 [2 per cell]
Rh 0.500 0.500 0.163 [2 per cell]
Rh 0.500 0.500 0.500 [1 per cell]

***

Record 6
Here is crystalline ZrInRh at its relaxed geometry from the Alexandria database. Energies are from PBE.

Calculated values
E (eV per atom): -6.670
Calculated density (g/cm³): 9.0
V (Å³/cell): 57.2
DOS(E_F) (states/eV per atom): 0.697

Lattice parameters (Å, degrees): 4.6590 4.6590 3.0423 90.00 90.00 120.00
Space group P-6m2 (No. 187)
Inequivalent atoms, fractional coordinates:
Zr 0.0000 0.0000 0.0000 [1 per cell]
In 0.6667 0.3333 0.5000 [1 per cell]
Rh 0.3333 0.6667 0.5000 [1 per cell]

***

Record 7
Here is crystalline Zr2InRh at its relaxed geometry from the Alexandria database. Energies are from PBE.

Calculated values
E (eV per atom): -7.101
Calculated density (g/cm³): 7.7
V (Å³/cell): 259.2
DOS(E_F) (states/eV per atom): 0.621

Lattice parameters (Å, degrees): 3.3883 3.3883 26.0749 90.00 90.00 120.00
Space group R-3m (No. 166, hexagonal axes)
Inequivalent atoms, fractional coordinates:
Zr 0.0000 0.0000 0.2377 [6 per cell]
In 0.0000 0.0000 0.0000 [3 per cell]
Rh 0.0000 0.0000 0.5000 [3 per cell]

***

Record 8
Here is crystalline Zr3InRh4 at its relaxed geometry from the Alexandria database. Energies are from PBE.

Calculated values
E (eV per atom): -7.959
Calculated density (g/cm³): 9.4
V (Å³/cell): 283.8
DOS(E_F) (states/eV per atom): 0.756

Lattice parameters (Å, degrees): 9.427 6.379 4.719 90.00 90.00 90.00
Space group Pmma (No. 51)
Inequivalent atoms, fractional coordinates:
Zr 0.000 0.000 0.000 [2 per cell]
Zr 0.250 0.000 0.492 [2 per cell]
Zr 0.250 0.500 0.488 [2 per cell]
In 0.000 0.500 0.000 [2 per cell]
Rh 0.000 0.243 0.500 [4 per cell]
Rh 0.250 0.243 0.985 [4 per cell]

***

Record 9
Here is crystalline Zr2InRh at its relaxed geometry from the Alexandria database. Energies are from PBE.

Calculated values
E (eV per atom): -7.183
Calculated density (g/cm³): 8.3
V (Å³/cell): 159.5
DOS(E_F) (states/eV per atom): 0.847

Lattice parameters (Å, degrees): 4.101 4.101 9.482 90.00 90.00 90.00
Space group I-4m2 (No. 119)
Inequivalent atoms, fractional coordinates:
Zr 0.000 0.000 0.000 [2 per cell]
Zr 0.000 0.500 0.250 [2 per cell]
In 0.000 0.500 0.750 [2 per cell]
Rh 0.000 0.000 0.500 [2 per cell]

***

Record 10
Here is crystalline Zr5InRh6 at its relaxed geometry from the Alexandria database. Energies are from PBE.

Calculated values
E (eV per atom): -8.207
Calculated density (g/cm³): 9.2
V (Å³/cell): 214.3
DOS(E_F) (states/eV per atom): 0.736

Lattice parameters (Å, degrees): 4.725 6.344 8.144 112.90 106.16 90.05
Space group P-1 (No. 2)
Inequivalent atoms, fractional coordinates:
Zr 0.000 0.000 0.000 [1 per cell]
Zr 0.332 0.834 0.668 [2 per cell]
Zr 0.338 0.340 0.679 [2 per cell]
In 0.000 0.500 0.000 [1 per cell]
Rh 0.176 0.420 0.347 [2 per cell]
Rh 0.177 0.926 0.347 [2 per cell]
Rh 0.498 0.762 0.999 [2 per cell]

***

Record 11
Here is crystalline Zr2InRh at its relaxed geometry from the Alexandria database. Energies are from PBE.

Calculated values
E (eV per atom): -7.037
Calculated density (g/cm³): 7.9
V (Å³/cell): 252.0
DOS(E_F) (states/eV per atom): 0.541

Lattice parameters (Å, degrees): 3.2637 3.2637 27.3228 90.00 90.00 120.00
Space group R3m (No. 160, hexagonal axes)
Inequivalent atoms, fractional coordinates:
Zr 0.0000 0.0000 0.0000 [3 per cell]
Zr 0.0000 0.0000 0.2419 [3 per cell]
In 0.0000 0.0000 0.7601 [3 per cell]
Rh 0.0000 0.0000 0.5041 [3 per cell]

***

Record 12
Here is crystalline ZrIn2Rh at its relaxed geometry from the Alexandria database. Energies are from PBE.

Calculated values
E (eV per atom): -5.636
Calculated density (g/cm³): 8.9
V (Å³/cell): 157.8
DOS(E_F) (states/eV per atom): 0.680

Lattice parameters (Å, degrees): 4.353 4.353 8.329 90.00 90.00 90.00
Space group I-4m2 (No. 119)
Inequivalent atoms, fractional coordinates:
Zr 0.000 0.000 0.000 [2 per cell]
In 0.000 0.000 0.500 [2 per cell]
In 0.000 0.500 0.750 [2 per cell]
Rh 0.000 0.500 0.250 [2 per cell]

***

Question: Which of these has the lowest calculated density?
Answer: number 7

***

Question: Which of these has the lowest E?
Answer: Zr5InRh6